1.
The following is a DFT calculation (PBE) of crystalline Ta2BeO6 at its relaxed geometry.

Crystal system ... monoclinic
Space-group type ... No. 15
Energy relative to the elements, uncorrected ... -2704 meV/atom
Total moment ... 0.00 μB per cell
Total DFT energy (no corrections) ... -81.5 eV/f.u.
E above lowest polymorph ... 18 meV/atom

abc: 3.906 8.684 8.684
angles: 104.53 102.97 102.97
Fractional positions:
1 Ta 0.726 0.649 0.850
2 Ta 0.774 0.150 0.351
3 Ta 0.274 0.351 0.150
4 Ta 0.226 0.850 0.649
5 Be 0.250 0.249 0.751
6 Be 0.750 0.751 0.249
7 O 0.724 0.804 0.693
8 O 0.776 0.307 0.196
9 O 0.276 0.196 0.307
10 O 0.224 0.693 0.804
11 O 0.060 0.778 0.424
12 O 0.440 0.576 0.222
13 O 0.940 0.222 0.576
14 O 0.560 0.424 0.778
15 O 0.857 0.723 0.074
16 O 0.643 0.926 0.277
17 O 0.143 0.277 0.926
18 O 0.357 0.074 0.723


2.
The following is a DFT calculation (PBE) of crystalline TaBeO2 at its relaxed geometry.

Crystal system ... trigonal
Space-group type ... No. 166
Energy relative to the elements, uncorrected ... -1663 meV/atom
Total moment ... 0.21 μB per cell
Total DFT energy (no corrections) ... -32.1 eV/f.u.

abc: 6.172 6.172 6.172
angles: 27.04 27.04 27.04
Fractional positions:
1 Be 0.000 0.000 0.000
2 O 0.916 0.916 0.916
3 O 0.084 0.084 0.084
4 Ta 0.500 0.500 0.500


3.
The following is a DFT calculation (PBE) of crystalline TaBeO2 at its relaxed geometry.

Crystal system ... tetragonal
Space-group type ... No. 122
Energy relative to the elements, uncorrected ... -1605 meV/atom
Total moment ... 1.97 μB per cell
Total DFT energy (no corrections) ... -31.9 eV/f.u.

abc: 4.516 4.516 5.129
angles: 63.88 63.88 90.00
Fractional positions:
1 Be 0.500 0.500 0.000
2 Be 0.250 0.750 0.500
3 O 0.532 0.125 0.250
4 O 0.218 0.625 0.250
5 O 0.375 0.468 0.750
6 O 0.875 0.782 0.750
7 Ta 0.000 0.000 0.000
8 Ta 0.750 0.250 0.500


4.
The following is a DFT calculation (PBE) of crystalline TaBe3O at its relaxed geometry.

Crystal system ... cubic
Space-group type ... No. 221
Energy relative to the elements, uncorrected ... -1 meV/atom
Total moment ... 1.60 μB per cell
Total DFT energy (no corrections) ... -28.0 eV/f.u.
E above lowest polymorph ... 0 meV/atom

abc: 3.722 3.722 3.722
angles: 90.00 90.00 90.00
Fractional positions:
1 Be 0.000 0.500 0.000
2 Be 0.000 0.000 0.500
3 Be 0.500 0.000 0.000
4 O 0.000 0.000 0.000
5 Ta 0.500 0.500 0.500


5.
The following is a DFT calculation (PBE) of crystalline Ta2Be2O5 at its relaxed geometry.

Crystal system ... tetragonal
Space-group type ... No. 123
Energy relative to the elements, uncorrected ... -1593 meV/atom
Total moment ... 1.27 μB per cell
Total DFT energy (no corrections) ... -70.3 eV/f.u.

abc: 3.544 3.544 6.352
angles: 90.00 90.00 90.00
Fractional positions:
1 Ta 0.500 0.500 0.000
2 Ta 0.500 0.500 0.500
3 Be 0.000 0.000 0.748
4 Be 0.000 0.000 0.252
5 O 0.500 0.000 0.797
6 O 0.500 0.000 0.203
7 O 0.000 0.000 0.500
8 O 0.000 0.500 0.797
9 O 0.000 0.500 0.203


6.
The following is a DFT calculation (PBE) of crystalline Ta2BeO6 at its relaxed geometry.

Crystal system ... orthorhombic
Space-group type ... No. 62
Energy relative to the elements, uncorrected ... -2721 meV/atom
Total moment ... 0.00 μB per cell
Total DFT energy (no corrections) ... -81.7 eV/f.u.
E above lowest polymorph ... 0 meV/atom

abc: 4.961 7.436 11.475
angles: 90.00 90.00 90.00
Fractional positions:
1 Ta 0.111 0.497 0.133
2 Ta 0.111 0.003 0.133
3 Ta 0.611 0.997 0.367
4 Ta 0.611 0.503 0.367
5 Ta 0.389 0.497 0.633
6 Ta 0.389 0.003 0.633
7 Ta 0.889 0.997 0.867
8 Ta 0.889 0.503 0.867
9 Be 0.397 0.250 0.939
10 Be 0.897 0.750 0.561
11 Be 0.103 0.250 0.439
12 Be 0.603 0.750 0.061
13 O 0.775 0.576 0.036
14 O 0.775 0.924 0.036
15 O 0.299 0.750 0.101
16 O 0.000 0.250 0.143
17 O 0.417 0.064 0.229
18 O 0.417 0.436 0.229
19 O 0.917 0.936 0.271
20 O 0.917 0.564 0.271
21 O 0.500 0.750 0.357
22 O 0.799 0.250 0.399
23 O 0.275 0.076 0.464
24 O 0.275 0.424 0.464
25 O 0.725 0.576 0.536
26 O 0.725 0.924 0.536
27 O 0.201 0.750 0.601
28 O 0.500 0.250 0.643
29 O 0.083 0.064 0.729
30 O 0.083 0.436 0.729
31 O 0.583 0.564 0.771
32 O 0.583 0.936 0.771
33 O 0.000 0.750 0.857
34 O 0.701 0.250 0.899
35 O 0.225 0.076 0.964
36 O 0.225 0.424 0.964